1.
# CeSe2

A geometry-optimized CeSe2 structure (PBE-GGA, Alexandria via LeMat-Bulk).

The structure in POSCAR format:
```
CeSe2
1.0
4.0815 0.0000 0.0000
-2.0407 3.5346 0.0000
0.0000 0.0000 26.6740
Ce Se
4 8
Cartesian
0.0000 0.0000 0.0000
0.0000 0.0000 6.6366
0.0000 0.0000 20.0375
0.0000 2.3564 13.3370
0.0000 0.0000 11.6475
0.0000 0.0000 15.0265
0.0000 2.3564 1.6877
0.0000 2.3564 24.9863
2.0407 1.1782 4.9459
2.0407 1.1782 8.3215
2.0407 1.1782 18.3525
2.0407 1.1782 21.7281
```

**Calculated density**: 5.144 Mg/m³
**Uncorrected energy**: -17.0 eV/f.u.
**Energy relative to the elements, uncorrected**: -1.350 eV per atom

=====

2.
# CeSe2

A geometry-optimized CeSe2 structure (PBE-GGA, Alexandria via LeMat-Bulk).

The structure in POSCAR format:
```
CeSe2
1.0
-3.7236 3.7236 6.0384
3.7236 -3.7236 6.0384
3.7236 3.7236 -6.0384
Ce Se
4 8
Cartesian
0.0000 0.0000 2.4266
0.0000 3.7236 0.5927
0.0000 0.0000 9.6503
0.0000 3.7236 5.4458
2.5080 -2.5080 6.0384
1.8618 2.2944 -1.5096
2.2944 1.8618 1.5096
1.8618 1.4293 4.5288
-1.2156 2.5080 3.0192
-2.5080 2.5080 6.0384
1.4293 1.8618 7.5481
1.2156 4.9392 3.0192
```

**Calculated density**: 5.911 Mg/m³
**Uncorrected energy**: -17.5 eV/f.u.
**Energy relative to the elements, uncorrected**: -1.548 eV per atom

=====

3.
# CeSe2

A geometry-optimized CeSe2 structure (PBE-GGA, Alexandria via LeMat-Bulk).

The structure in POSCAR format:
```
CeSe2
1.0
13.6628 0.0000 0.0000
0.0000 4.3995 0.0000
0.0000 0.0000 5.6409
Ce Se
4 8
Cartesian
1.9209 1.0999 0.2982
4.9105 3.2996 3.1186
8.7523 1.0999 2.5223
11.7419 3.2996 5.3427
0.4252 3.2996 1.3436
2.9367 1.0999 3.1042
3.8947 3.2996 0.2838
6.4062 1.0999 4.1641
7.2566 3.2996 1.4768
9.7681 1.0999 5.3570
10.7261 3.2996 2.5366
13.2376 1.0999 4.2972
```

**Calculated density**: 5.838 Mg/m³
**Uncorrected energy**: -17.7 eV/f.u.
**Energy relative to the elements, uncorrected**: -1.604 eV per atom

=====

4.
# Ce5Se

A geometry-optimized Ce5Se structure (PBE-GGA, Alexandria via LeMat-Bulk).

The structure in POSCAR format:
```
Ce5Se
1.0
2.3002 -7.1972 0.0000
2.3002 7.1972 0.0000
0.0000 0.0000 4.4822
Ce Se
5 1
Cartesian
0.0000 0.0000 0.0000
2.3002 4.9592 2.2411
2.3002 2.3237 0.0000
2.3002 -2.3237 0.0000
2.3002 -4.9592 2.2411
2.3002 0.0000 2.2411
```

**Calculated density**: 8.722 Mg/m³
**Uncorrected energy**: -35.4 eV/f.u.
**Energy relative to the elements, uncorrected**: -0.370 eV per atom

=====

5.
# CeSe2

A geometry-optimized CeSe2 structure (PBE-GGA, Alexandria via LeMat-Bulk).

The structure in POSCAR format:
```
CeSe2
1.0
6.7428 0.0000 0.0000
0.0000 13.3918 0.0000
0.0000 0.0000 7.3121
Ce Se
8 16
Cartesian
1.5937 1.4591 0.4011
1.5937 5.2368 4.0571
1.7776 8.1550 0.4011
1.7776 11.9326 4.0571
4.9651 1.4591 3.2550
4.9651 5.2368 6.9110
5.1490 8.1550 3.2550
5.1490 11.9326 6.9110
0.0141 0.4859 5.3989
0.0141 6.2100 1.7428
1.0325 9.4266 2.8395
1.0325 10.6610 6.4955
2.3389 2.7307 2.8395
2.3389 3.9652 6.4955
3.3573 7.1818 5.3989
3.3573 12.9058 1.7428
3.3855 0.4859 5.5692
3.3855 6.2100 1.9132
4.4038 9.4266 0.8166
4.4038 10.6610 4.4726
5.7103 2.7307 0.8166
5.7103 3.9652 4.4726
6.7287 7.1818 5.5692
6.7287 12.9058 1.9132
```

**Calculated density**: 5.996 Mg/m³
**Uncorrected energy**: -17.6 eV/f.u.
**Energy relative to the elements, uncorrected**: -1.563 eV per atom

=====

6.
# CeSe2

A geometry-optimized CeSe2 structure (PBE-GGA, Alexandria via LeMat-Bulk).

The structure in POSCAR format:
```
CeSe2
1.0
-5.2647 5.2647 3.6640
5.2647 -5.2647 3.6640
5.2647 5.2647 -3.6640
Ce Se
4 8
Cartesian
3.7703 2.7312 -1.8311
1.4944 2.5335 1.8329
2.5335 -1.4944 5.4952
2.7312 6.7591 1.8311
2.6804 0.7749 -0.0563
6.0380 2.5754 -0.0529
4.4898 -2.5843 3.7203
2.5754 4.4914 0.0529
2.6893 0.7733 3.7170
-0.7733 2.6893 3.6111
0.7749 7.8490 0.0563
2.5843 4.4898 3.6078
```

**Calculated density**: 4.873 Mg/m³
**Uncorrected energy**: -17.3 eV/f.u.
**Energy relative to the elements, uncorrected**: -1.453 eV per atom

=====

Q: energy relative to the elements, uncorrected of number 5 (CeSe2)?
A: -1.563 eV per atom